Record 1
## CrN2F2 (SCAN)

Data for a crystal of CrN2F2 relaxed with PBEsol.

Summary:
Fermi-level density of states = 1.4 states/eV/f.u.
Energy relative to the elements, uncorrected = -13 kJ/mol of formula units
DFT total energy = -8.84 eV per atom

Unit cell a=3.6197 b=3.6197 c=3.7205 alpha=90.00 beta=90.00 gamma=90.00
Closest atoms and distances in Å follow each position.
Fractional coordinates of all 5 atoms:
F 0.5000 0.5000 0.5000  4 F 2.56, 8 N 2.60
N 0.0000 0.5000 0.0000  2 Cr 1.81
F 0.0000 0.0000 0.5000  2 Cr 1.86
Cr 0.0000 0.0000 0.0000  4 N 1.81, 2 F 1.86
N 0.5000 0.0000 0.0000  2 Cr 1.81

***

Record 2
## Ti2VTe4 (SCAN)

Data for a crystal of Ti2VTe4 relaxed with PBEsol.

Summary:
Fermi-level density of states = 3.4 states/eV/f.u.
Energy relative to the elements, uncorrected = -461 kJ/mol of formula units
Excess energy over the best structure of this formula in the dataset = 0.041 eV per atom
DFT total energy = -29.05 eV per atom

Unit cell a=3.7097 b=6.8575 c=7.2690 alpha=117.27 beta=104.78 gamma=90.00
Closest atoms and distances in Å follow each position.
Fractional coordinates of all 7 atoms:
Ti 0.2487 0.2992 0.4974  6 Te 2.68-2.93
V 0.7503 0.7000 0.5006  6 Te 2.65-2.88
Ti 0.0015 0.0024 0.0029  6 Te 2.71-2.78
Te 0.8944 0.5539 0.7889  1 V 2.65, 3 Ti 2.70-2.71
Te 0.3619 0.0340 0.7237  2 V 2.78, 3 Ti 2.78-2.93
Te 0.6370 0.9562 0.2739  4 Ti 2.78-2.82, 1 V 2.88
Te 0.1063 0.4543 0.2126  2 V 2.67, 2 Ti 2.68-2.73

***

Record 3
## KRu3Pt (SCAN)

Data for a crystal of KRu3Pt relaxed with PBEsol.

Summary:
Fermi-level density of states = 4.9 states/eV/f.u.
Formation enthalpy at 0 K = 3.08 eV per atom
DFT total energy = -33.53 eV per atom

Unit cell a=4.3630 b=4.3630 c=4.3630 alpha=90.00 beta=90.00 gamma=90.00
Closest atoms and distances in Å follow each position.
Fractional coordinates of all 5 atoms:
Ru 0.5000 0.0000 0.0000  2 K 2.18
Ru 0.0000 0.0000 0.5000  2 K 2.18
Pt 0.5000 0.5000 0.5000  12 Ru 3.09
K 0.0000 0.0000 0.0000  6 Ru 2.18
Ru 0.0000 0.5000 0.0000  2 K 2.18

***

Record 4
## TaNbRu3 (SCAN)

Data for a crystal of TaNbRu3 relaxed with PBEsol.

Summary:
Fermi-level density of states = 3.8 states/eV/f.u.
Formation enthalpy at 0 K = 1.39 eV per atom
Excess energy over the best structure of this formula in the dataset = 0.000 eV per atom
DFT total energy = -39.45 eV per atom

Unit cell a=4.5687 b=4.5687 c=4.5687 alpha=90.00 beta=90.00 gamma=90.00
Closest atoms and distances in Å follow each position.
Fractional coordinates of all 5 atoms:
Ru 0.5000 0.0000 0.0000  2 Ta 2.28
Ta 0.0000 0.0000 0.0000  6 Ru 2.28
Nb 0.5000 0.5000 0.5000  12 Ru 3.23
Ru 0.0000 0.0000 0.5000  2 Ta 2.28
Ru 0.0000 0.5000 0.0000  2 Ta 2.28

***

Record 5
## TcSb (SCAN)

Data for a crystal of TcSb relaxed with PBEsol.

Summary:
Fermi-level density of states = 0.6 states/eV/f.u.
Energy relative to the elements, uncorrected = 12 kJ/mol of formula units
Excess energy over the best structure of this formula in the dataset = 0.000 eV per atom
DFT total energy = -36.10 eV per atom

Unit cell a=3.0150 b=3.0150 c=8.5355 alpha=90.00 beta=90.00 gamma=90.00
Closest atoms and distances in Å follow each position.
Fractional coordinates of all 4 atoms:
Sb 0.5000 0.0000 0.8100  4 Tc 2.83, 4 Sb 3.02
Sb 0.0000 0.5000 0.1900  4 Tc 2.83, 4 Sb 3.02
Tc 0.5000 0.0000 0.4080  4 Tc 2.65, 4 Sb 2.83
Tc 0.0000 0.5000 0.5920  4 Tc 2.65, 4 Sb 2.83

***

Record 6
## SrCa2Sb (SCAN)

Data for a crystal of SrCa2Sb relaxed with PBEsol.

Summary:
Fermi-level density of states = 2.2 states/eV/f.u.
Energy relative to the elements, uncorrected = -202 kJ/mol of formula units
DFT total energy = -20.24 eV per atom

Unit cell a=5.0163 b=5.0163 c=5.0967 alpha=90.00 beta=90.00 gamma=90.00
Closest atoms and distances in Å follow each position.
Fractional coordinates of all 4 atoms:
Sb 0.5000 0.5000 0.5000  4 Sr 3.55, 8 Ca 3.58
Sr 0.0000 0.0000 0.5000  4 Sb 3.55, 8 Ca 3.58
Ca 0.0000 0.5000 0.0000  4 Ca 3.55, 4 Sb 3.58, 4 Sr 3.58
Ca 0.5000 0.0000 0.0000  4 Ca 3.55, 4 Sb 3.58, 4 Sr 3.58

***

Record 7
## Cs2MnV2Br2O6 (SCAN)

Data for a crystal of Cs2MnV2Br2O6 relaxed with PBEsol.

Summary:
Energy relative to the elements, uncorrected = -2904 kJ/mol of formula units
DFT total energy = -18.10 eV per atom

Unit cell a=5.6363 b=5.7470 c=9.1840 alpha=90.00 beta=107.87 gamma=90.00
Closest atoms and distances in Å follow each position.
Fractional coordinates of all 13 atoms:
O 0.8920 0.4516 0.7841  1 V 1.68
O 0.0000 0.4333 0.5000  2 V 1.79
Cs 0.6333 0.0563 0.2666  5 O 3.17-3.33
Br 0.5000 0.5344 0.0000  2 Mn 2.82
V 0.1991 0.5463 0.3981  4 O 1.63-1.79
O 0.7984 0.8294 0.5967  1 V 1.63
O 0.1080 0.4516 0.2159  1 V 1.68
V 0.8009 0.5463 0.6019  4 O 1.63-1.79
Mn 0.0000 0.5408 0.0000  2 O 1.96
O 0.2016 0.8294 0.4033  1 V 1.63
O 0.5000 0.4333 0.5000  2 V 1.79
Cs 0.3667 0.0563 0.7334  5 O 3.17-3.33
Br 0.0000 0.9781 0.0000  1 Mn 2.51

***

Record 8
## Hg2MoAs (SCAN)

Data for a crystal of Hg2MoAs relaxed with PBEsol.

Summary:
Fermi-level density of states = 1.5 states/eV/f.u.
Formation enthalpy at 0 K = 0.59 eV per atom
DFT total energy = -47.26 eV per atom

Unit cell a=4.1306 b=4.1306 c=5.1961 alpha=113.42 beta=113.42 gamma=90.00
Closest atoms and distances in Å follow each position.
Fractional coordinates of all 4 atoms:
Mo 0.5000 0.5000 0.0000  8 Hg 2.92-2.98, 4 As 2.98
As 0.2500 0.7500 0.5000  8 Hg 2.92-2.98, 4 Mo 2.98
Hg 0.0000 0.0000 0.0000  4 Mo 2.92, 4 Hg 2.98, 4 As 2.98
Hg 0.7500 0.2500 0.5000  4 As 2.92, 4 Mo 2.98, 4 Hg 2.98

***

Record 9
## CuNi8 (SCAN)

Data for a crystal of CuNi8 relaxed with PBEsol.

Summary:
Fermi-level density of states = 11.1 states/eV/f.u.
Formation enthalpy at 0 K = 0.03 eV per atom
DFT total energy = -16.03 eV per atom

Unit cell a=3.4727 b=5.4841 c=5.4841 alpha=84.25 beta=71.54 gamma=71.54
Closest atoms and distances in Å follow each position.
Fractional coordinates of all 9 atoms:
Ni 0.3317 0.3366 0.0000  10 Ni 2.43-2.48, 2 Cu 2.47
Cu 0.0000 0.0000 0.0000  12 Ni 2.46-2.47
Ni 0.6683 0.0000 0.6634  10 Ni 2.43-2.48, 2 Cu 2.47
Ni 0.6653 0.3347 0.3347  11 Ni 2.43-2.46, 1 Cu 2.46
Ni 0.0000 0.6653 0.3347  11 Ni 2.43-2.46, 1 Cu 2.46
Ni 0.0000 0.3347 0.6653  11 Ni 2.43-2.46, 1 Cu 2.46
Ni 0.3317 0.0000 0.3366  10 Ni 2.43-2.48, 2 Cu 2.47
Ni 0.6683 0.6634 0.0000  10 Ni 2.43-2.48, 2 Cu 2.47
Ni 0.3347 0.6653 0.6653  11 Ni 2.43-2.46, 1 Cu 2.46

***

Record 10
## Ni5Ir (SCAN)

Data for a crystal of Ni5Ir relaxed with PBEsol.

Summary:
Fermi-level density of states = 7.5 states/eV/f.u.
Formation enthalpy at 0 K = 0.05 eV per atom
Excess energy over the best structure of this formula in the dataset = 0.026 eV per atom
DFT total energy = -25.28 eV per atom

Unit cell a=2.5499 b=2.5499 c=10.2573 alpha=90.00 beta=90.00 gamma=90.00
Closest atoms and distances in Å follow each position.
Fractional coordinates of all 6 atoms:
Ni 0.0000 0.0000 0.1772  8 Ni 2.46-2.55, 4 Ir 2.56
Ni 0.0000 0.0000 0.8228  8 Ni 2.46-2.55, 4 Ir 2.56
Ni 0.0000 0.0000 0.5000  12 Ni 2.43-2.55
Ni 0.5000 0.5000 0.6592  12 Ni 2.43-2.55
Ir 0.5000 0.5000 0.0000  4 Ir 2.55, 8 Ni 2.56
Ni 0.5000 0.5000 0.3408  12 Ni 2.43-2.55

***

Record 11
## LiSc2Sn (SCAN)

Data for a crystal of LiSc2Sn relaxed with PBEsol.

Summary:
Fermi-level density of states = 4.1 states/eV/f.u.
Formation enthalpy at 0 K = 0.23 eV per atom
DFT total energy = -16.47 eV per atom

Unit cell a=3.2050 b=3.2050 c=11.0380 alpha=81.65 beta=81.65 gamma=60.00
Closest atoms and distances in Å follow each position.
Fractional coordinates of all 4 atoms:
Sn 0.0000 0.0000 0.0000  2 Sc 2.91, 6 Sn 3.20
Sc 0.0891 0.0891 0.7326  1 Sn 2.91, 3 Li 3.14, 6 Sc 3.20
Sc 0.9109 0.9109 0.2674  1 Sn 2.91, 3 Li 3.14, 6 Sc 3.20
Li 0.5000 0.5000 0.5000  6 Sc 3.14, 6 Li 3.20

***

Q: Look up the DFT total energy of the first one.
A: -8.84 eV per atom